Record 1
CsRuRh2I: relaxed, PBE-GGA.

Properties
- Fermi-level density of states: 1.5895 states/eV/atom
- Magnetization: 2.66 μB per formula unit
- DFT total energy: -15.31 eV/cell
- Formation energy without anion corrections: 2.214 eV per atom

a = 5.073 Å, b = 5.073 Å, c = 5.133 Å
α = 90.00°, β = 90.00°, γ = 90.00°
Space group P4/mmm (No. 123)
Asymmetric unit:
Cs: 0.000 0.000 0.000
Ru: 0.000 0.000 0.500
Rh: 0.000 0.500 0.000
I: 0.500 0.500 0.500

Record 2
CsSb2RhI: relaxed, PBE-GGA.

Properties
- Fermi-level density of states: 0.5952 states/eV/atom
- Magnetization: 0.00 μB per formula unit
- DFT total energy: -18.99 eV/cell
- Polymorph energy (0 for the lowest one): 0.00 eV per formula unit
- Formation energy without anion corrections: -0.198 eV per atom

a = 5.058 Å, b = 5.058 Å, c = 8.681 Å
α = 90.00°, β = 90.00°, γ = 90.00°
Space group P4/mmm (No. 123)
Asymmetric unit:
Cs: 0.000 0.000 0.000
Sb: 0.000 0.500 0.500
Rh: 0.500 0.500 0.500
I: 0.500 0.500 0.000

Record 3
CsSb2RhI: relaxed, PBE-GGA.

Properties
- Fermi-level density of states: 1.0312 states/eV/atom
- Magnetization: 4.43 μB per formula unit
- DFT total energy: -9.33 eV/cell
- Polymorph energy (0 for the lowest one): 9.66 eV per formula unit
- Formation energy without anion corrections: 1.733 eV per atom

a = 6.501 Å, b = 6.501 Å, c = 6.891 Å
α = 90.00°, β = 90.00°, γ = 90.00°
Space group P4/mmm (No. 123)
Asymmetric unit:
Cs: 0.000 0.000 0.000
Sb: 0.000 0.500 0.000
Rh: 0.500 0.500 0.500
I: 0.000 0.000 0.500

Record 4
Cs2ScRhI6: relaxed, PBE-GGA.

Properties
- Fermi-level density of states: 0.0000 states/eV/atom
- Magnetization: 2.00 μB per formula unit
- DFT total energy: -137.90 eV/cell
- Formation energy without anion corrections: -0.978 eV per atom

a = 11.657 Å, b = 11.657 Å, c = 11.657 Å
α = 90.00°, β = 90.00°, γ = 90.00°
Space group Fm-3m (No. 225)
Asymmetric unit:
Cs: 0.250 0.250 0.250
Sc: 0.000 0.000 0.000
Rh: 0.000 0.000 0.500
I: 0.000 0.000 0.251

Record 5
Cs2RhSeI6: relaxed, PBE-GGA.

Properties
- Fermi-level density of states: 0.5888 states/eV/atom
- Magnetization: 0.00 μB per formula unit
- DFT total energy: -55.81 eV/cell
- Formation energy without anion corrections: -0.606 eV per atom

a = 8.272 Å, b = 8.272 Å, c = 11.421 Å
α = 90.00°, β = 90.00°, γ = 90.00°
Space group I4/mmm (No. 139)
Asymmetric unit:
Cs: 0.000 0.500 0.250
Rh: 0.000 0.000 0.000
Se: 0.000 0.000 0.500
I: 0.000 0.000 0.241
I: 0.235 0.235 0.000

Record 6
Cs2SiRhI6: relaxed, PBE-GGA.

Properties
- Fermi-level density of states: 0.5082 states/eV/atom
- Magnetization: 0.00 μB per formula unit
- DFT total energy: -60.09 eV/cell
- Formation energy without anion corrections: -0.626 eV per atom

a = 8.089 Å, b = 8.089 Å, c = 11.475 Å
α = 90.00°, β = 90.00°, γ = 90.00°
Space group I4/mmm (No. 139)
Asymmetric unit:
Cs: 0.000 0.500 0.250
Si: 0.000 0.000 0.000
Rh: 0.000 0.000 0.500
I: 0.000 0.000 0.257
I: 0.244 0.244 0.500

Record 7
Cs2SrRhI6: relaxed, PBE-GGA.

Properties
- Fermi-level density of states: 0.3747 states/eV/atom
- Magnetization: 0.94 μB per formula unit
- DFT total energy: -61.44 eV/cell
- Formation energy without anion corrections: -1.068 eV per atom

a = 8.551 Å, b = 8.551 Å, c = 11.985 Å
α = 90.00°, β = 90.00°, γ = 90.00°
Space group I4/mmm (No. 139)
Asymmetric unit:
Cs: 0.000 0.500 0.250
Sr: 0.000 0.000 0.000
Rh: 0.000 0.000 0.500
I: 0.000 0.000 0.271
I: 0.232 0.232 0.500

Record 8
CsTcRh2I: relaxed, PBE-GGA.

Properties
- Fermi-level density of states: 0.6914 states/eV/atom
- Magnetization: 5.11 μB per formula unit
- DFT total energy: -16.33 eV/cell
- Formation energy without anion corrections: 2.229 eV per atom

a = 4.964 Å, b = 4.964 Å, c = 6.727 Å
α = 90.00°, β = 90.00°, γ = 90.00°
Space group P4/mmm (No. 123)
Asymmetric unit:
Cs: 0.000 0.000 0.000
Tc: 0.500 0.500 0.500
Rh: 0.000 0.500 0.000
I: 0.000 0.000 0.500

Record 9
CsTe2RhI: relaxed, PBE-GGA.

Properties
- Fermi-level density of states: 2.0274 states/eV/atom
- Magnetization: 4.12 μB per formula unit
- DFT total energy: -9.07 eV/cell
- Polymorph energy (0 for the lowest one): 8.56 eV per formula unit
- Formation energy without anion corrections: 1.394 eV per atom

a = 6.445 Å, b = 6.445 Å, c = 7.044 Å
α = 90.00°, β = 90.00°, γ = 90.00°
Space group P4/mmm (No. 123)
Asymmetric unit:
Cs: 0.000 0.000 0.000
Te: 0.000 0.500 0.000
Rh: 0.500 0.500 0.500
I: 0.000 0.000 0.500

Record 10
CsTe2RhI: relaxed, PBE-GGA.

Properties
- Fermi-level density of states: 1.3582 states/eV/atom
- Magnetization: 0.31 μB per formula unit
- DFT total energy: -17.62 eV/cell
- Polymorph energy (0 for the lowest one): 0.00 eV per formula unit
- Formation energy without anion corrections: -0.317 eV per atom

a = 5.322 Å, b = 5.322 Å, c = 5.985 Å
α = 90.00°, β = 90.00°, γ = 90.00°
Space group P4/mmm (No. 123)
Asymmetric unit:
Cs: 0.000 0.000 0.000
Te: 0.000 0.500 0.500
Rh: 0.500 0.500 0.500
I: 0.500 0.500 0.000

Record 11
Cs2TeRhI6: relaxed, PBE-GGA.

Properties
- Fermi-level density of states: 0.4285 states/eV/atom
- Magnetization: 0.00 μB per formula unit
- DFT total energy: -56.01 eV/cell
- Formation energy without anion corrections: -0.650 eV per atom

a = 8.373 Å, b = 8.373 Å, c = 11.731 Å
α = 90.00°, β = 90.00°, γ = 90.00°
Space group I4/mmm (No. 139)
Asymmetric unit:
Cs: 0.000 0.500 0.250
Te: 0.000 0.000 0.000
Rh: 0.000 0.000 0.500
I: 0.000 0.000 0.266
I: 0.233 0.233 0.500

Record 12
Cs2YRhI6: relaxed, PBE-GGA.

Properties
- Fermi-level density of states: 0.0000 states/eV/atom
- Magnetization: 2.00 μB per formula unit
- DFT total energy: -70.69 eV/cell
- Formation energy without anion corrections: -1.052 eV per atom

a = 8.400 Å, b = 8.400 Å, c = 11.900 Å
α = 90.00°, β = 90.00°, γ = 90.00°
Space group I4/mmm (No. 139)
Asymmetric unit:
Cs: 0.000 0.500 0.250
Y: 0.000 0.000 0.000
Rh: 0.000 0.000 0.500
I: 0.000 0.000 0.256
I: 0.244 0.244 0.500